# 1
Compound: La2ZrMo2N6
Source: Alexandria via LeMat-Bulk
Functional: PBE-GGA
Structure: relaxed

Cell: 6.801 6.801 6.801 Å, 50.38 50.38 50.38°
Atoms (fractional coordinates):
La (0.204, 0.204, 0.204)
La (0.796, 0.796, 0.796)
Zr (0.000, 0.000, 0.000)
Mo (0.395, 0.395, 0.395)
Mo (0.605, 0.605, 0.605)
N (0.225, 0.750, 0.750)
N (0.250, 0.250, 0.775)
N (0.250, 0.775, 0.250)
N (0.750, 0.225, 0.750)
N (0.750, 0.750, 0.225)
N (0.775, 0.250, 0.250)

ΔE_f (raw): -0.810 eV per atom
Calculated volume: 171.9 Å³/cell
E: -8.993 eV per atom
D(E_F): 2.31 states/eV/f.u.



# 2
Compound: Dy12Tl5In2
Source: Alexandria via LeMat-Bulk
Functional: PBE-GGA
Structure: relaxed

Cell: 9.356 9.356 9.252 Å, 96.72 96.72 45.62°
Atoms (fractional coordinates):
Dy (0.008, 0.008, 0.189)
Dy (0.095, 0.604, 0.996)
Dy (0.097, 0.579, 0.588)
Dy (0.396, 0.905, 0.004)
Dy (0.421, 0.903, 0.412)
Dy (0.458, 0.458, 0.302)
Dy (0.542, 0.542, 0.698)
Dy (0.579, 0.097, 0.588)
Dy (0.604, 0.095, 0.996)
Dy (0.903, 0.421, 0.412)
Dy (0.905, 0.396, 0.004)
Dy (0.992, 0.992, 0.811)
Tl (0.194, 0.194, 0.730)
Tl (0.272, 0.272, 0.247)
Tl (0.500, 0.500, 0.000)
Tl (0.728, 0.728, 0.753)
Tl (0.806, 0.806, 0.270)
In (0.185, 0.815, 0.500)
In (0.815, 0.185, 0.500)

Calculated volume: 574.1 Å³/cell
E: -3.926 eV per atom
E_form: -2.06 eV/f.u.
D(E_F): 20.30 states/eV/f.u.



# 3
Compound: PrNp2PaN4
Source: Alexandria via LeMat-Bulk
Functional: PBE-GGA
Structure: relaxed

Cell: 6.094 3.502 6.113 Å, 90.00 109.54 90.00°
Atoms (fractional coordinates):
Pr (0.000, 0.000, 0.000)
Np (0.000, 0.500, 0.500)
Np (0.500, 0.000, 0.500)
Pa (0.500, 0.500, 0.000)
N (0.266, 0.000, 0.746)
N (0.278, 0.500, 0.274)
N (0.722, 0.500, 0.726)
N (0.734, 0.000, 0.254)

ΔE_f (raw): -1.273 eV per atom
Calculated volume: 122.9 Å³/cell
E: -10.455 eV per atom
D(E_F): 15.35 states/eV/f.u.



Among the records above, which one has the highest D(E_F)? Dy12Tl5In2



What is the calculated volume in the third record? 122.9 Å³/cell



Among the records above, which one has the highest D(E_F)? Dy12Tl5In2